1.
# BiP2F

A geometry-optimized BiP2F structure (PBE, Alexandria).

Lattice parameters (Å, degrees): 4.683 4.683 4.683 60.00 60.00 60.00
Positions (direct):
Bi 0.000 0.000 0.000
P 0.250 0.250 0.250
P 0.750 0.750 0.750
F 0.500 0.500 0.500

Calculated values
Total DFT energy (no corrections), eV per atom: -3.9843
Formation energy from raw total energies, eV per atom: 0.159
Energy above the most stable polymorph in this dataset, eV per formula unit: 2.16
N(E_F), states/eV/f.u.: 2.9



2.
# Bi2PF

A geometry-optimized Bi2PF structure (PBE, Alexandria).

Lattice parameters (Å, degrees): 6.212 6.212 6.212 107.59 107.59 113.31
Positions (direct):
Bi 0.121 0.625 0.996
Bi 0.375 0.371 0.496
Bi 0.629 0.125 0.004
Bi 0.875 0.879 0.504
P 0.250 0.750 0.500
P 0.500 0.500 0.000
F 0.000 0.000 0.000
F 0.750 0.250 0.500

Calculated values
Total DFT energy (no corrections), eV per atom: -4.3038
Formation energy from raw total energies, eV per atom: -0.543
Energy above the most stable polymorph in this dataset, eV per formula unit: 0.00
N(E_F), states/eV/f.u.: 0.0



Please write out number 2 again, unchanged.
# Bi2PF

A geometry-optimized Bi2PF structure (PBE, Alexandria).

Lattice parameters (Å, degrees): 6.212 6.212 6.212 107.59 107.59 113.31
Positions (direct):
Bi 0.121 0.625 0.996
Bi 0.375 0.371 0.496
Bi 0.629 0.125 0.004
Bi 0.875 0.879 0.504
P 0.250 0.750 0.500
P 0.500 0.500 0.000
F 0.000 0.000 0.000
F 0.750 0.250 0.500

Calculated values
Total DFT energy (no corrections), eV per atom: -4.3038
Formation energy from raw total energies, eV per atom: -0.543
Energy above the most stable polymorph in this dataset, eV per formula unit: 0.00
N(E_F), states/eV/f.u.: 0.0



What is the formula in the second record? Bi2PF



Repeat the second record exactly.
# Bi2PF

A geometry-optimized Bi2PF structure (PBE, Alexandria).

Lattice parameters (Å, degrees): 6.212 6.212 6.212 107.59 107.59 113.31
Positions (direct):
Bi 0.121 0.625 0.996
Bi 0.375 0.371 0.496
Bi 0.629 0.125 0.004
Bi 0.875 0.879 0.504
P 0.250 0.750 0.500
P 0.500 0.500 0.000
F 0.000 0.000 0.000
F 0.750 0.250 0.500

Calculated values
Total DFT energy (no corrections), eV per atom: -4.3038
Formation energy from raw total energies, eV per atom: -0.543
Energy above the most stable polymorph in this dataset, eV per formula unit: 0.00
N(E_F), states/eV/f.u.: 0.0